Compound: ScAg2Au
Source: the Alexandria database
Functional: meta-GGA SCAN
Structure: PBEsol geometry

```
ScAg2Au
1.0
-4.335 -1.490 0.650
-0.760 -4.240 1.697
-1.652 -0.512 4.294
Au Ag Sc
1 2 1
direct
0.500 0.500 0.500
0.000 0.000 0.000
0.750 0.750 0.750
0.250 0.250 0.250
```

Output
ΔE to the lowest computed polymorph (kJ/mol of formula units): 5
Energy relative to the elements (eV per atom): -0.458
Raw total energy (hartree per atom): -1.3593
Symmetry: F-43m, No. 216

Compound: Be2InPb
Source: the Alexandria database
Functional: meta-GGA SCAN
Structure: PBEsol geometry

```
Be2InPb
1.0
3.075 0.000 0.000
0.000 3.814 0.000
0.000 0.000 6.412
Be In Pb
2 1 1
direct
0.000 0.000 0.178
0.000 0.000 0.822
0.500 0.500 0.000
0.500 0.500 0.500
```

Output
ΔE to the lowest computed polymorph (kJ/mol of formula units): 55
Energy relative to the elements (eV per atom): 0.635
Raw total energy (hartree per atom): -1.0596
Symmetry: Pmmm, No. 47

Compound: ZnH2Pd2
Source: the Alexandria database
Functional: meta-GGA SCAN
Structure: PBEsol geometry

```
ZnH2Pd2
1.0
2.772 0.000 0.000
0.000 6.388 0.000
0.000 0.000 6.388
H Pd Zn
4 4 2
direct
0.500 0.237 0.737
0.500 0.263 0.237
0.500 0.763 0.263
0.500 0.737 0.763
0.000 0.351 0.851
0.000 0.149 0.351
0.000 0.649 0.149
0.000 0.851 0.649
0.000 0.500 0.500
0.000 0.000 0.000
```

Output
ΔE to the lowest computed polymorph (kJ/mol of formula units): 158
Raw total energy (hartree per atom): -0.6279
Symmetry: P4/mbm, No. 127